A plane-wave DFT calculation with GGA-PBE was carried out for a relaxed CsZnN crystal.

a = 5.669 Å, b = 5.669 Å, c = 3.605 Å
α = 90.00°, β = 90.00°, γ = 120.00°
Positions (direct):
1 Cs 0.000 0.000 0.500
2 N 0.667 0.333 0.500
3 Zn 0.667 0.333 0.000

Summary:
symmetry = No. 187
DFT total energy = -0.240 Ry/atom